a:
A plane-wave DFT calculation with PBE was carried out for a relaxed BaZr3Nb crystal.

Unit cell a=5.329 b=5.329 c=5.329 alpha=90.00 beta=90.00 gamma=90.00
Element x y z (fractional)
Nb  0.000  0.000  0.000
Ba  0.500  0.500  0.500
Zr  0.000  0.500  0.000
Zr  0.000  0.000  0.500
Zr  0.500  0.000  0.000

=====

b:
A plane-wave DFT calculation with PBE was carried out for a relaxed BaZr3Nb crystal.

Unit cell a=5.221 b=5.221 c=5.221 alpha=90.00 beta=90.00 gamma=90.00
Site moments in Bohr magnetons follow the coordinates.
Element x y z (fractional)
Nb  0.500  0.500  0.500  1.31
Ba  0.000  0.000  0.000  -0.01
Zr  0.000  0.500  0.000  -0.08
Zr  0.000  0.000  0.500  -0.04
Zr  0.500  0.000  0.000  -0.17

=====

Which one sits at the top of the stability order? a does.

=====

a:
A plane-wave DFT calculation with PBE was carried out for a relaxed BaNd3 crystal.

Unit cell a=5.390 b=5.390 c=5.390 alpha=90.00 beta=90.00 gamma=90.00
Element x y z (fractional)
Nd  0.000  0.500  0.500
Nd  0.500  0.000  0.500
Nd  0.500  0.500  0.000
Ba  0.000  0.000  0.000

=====

b:
A plane-wave DFT calculation with PBE was carried out for a relaxed BaNd3 crystal.

Unit cell a=3.827 b=6.711 c=7.275 alpha=117.47 beta=105.25 gamma=90.00
Element x y z (fractional)
Nd  0.238  0.575  0.477
Nd  0.500  0.501  0.000
Nd  0.762  0.098  0.523
Ba  0.000  0.993  0.000

=====

Which one sits at the top of the stability order? b does.